No. 1
The following is a DFT calculation (PBE-GGA) of a relaxed K3Na2ErF9 crystal.

The space group is P-3m1 (No. 164) and the conventional cell measures 6.1732, 6.1732 and 7.8840 Å, with angles of 90.00, 90.00 and 120.00 degrees. The inequivalent atoms are K at (0.0000, 0.0000, 0.0000), K at (0.3333, 0.6667, 0.7169), Na at (0.3333, 0.6667, 0.1814), Er at (0.0000, 0.0000, 0.5000), F at (0.0000, 0.5000, 0.0000) and F at (0.1598, 0.3196, 0.3350).

Its crystal system is trigonal. The calculated volume is 17.346 Å³/atom. The calculated density is 3.20 Mg/m³. The total energy is -71.393 eV for the cell shown. As for the total magnetization: 1.21 μB per cell. The value obtained for the uncorrected formation energy is -2.94 eV per atom.

No. 2
The following is a DFT calculation (PBE-GGA) of a relaxed KNa2ErF6 crystal.

The space group is R3 (No. 146, hexagonal axes) and the conventional cell measures 5.9936, 5.9936 and 16.0249 Å, with angles of 90.00, 90.00 and 120.00 degrees. The inequivalent atoms are K at (0.0000, 0.0000, 0.0000), Na at (0.0000, 0.0000, 0.2788), Na at (0.0000, 0.0000, 0.7881), Er at (0.0000, 0.0000, 0.4853), F at (0.0054, 0.3513, 0.2135) and F at (0.0431, 0.6230, 0.0610).

Its crystal system is trigonal. The calculated volume is 16.618 Å³/atom. The calculated density is 3.66 Mg/m³. The total energy is -158.324 eV for the cell shown. As for the total magnetization: 0.63 μB per cell. The value obtained for the uncorrected formation energy is -3.32 eV per atom.

Repeat the second record exactly.
The following is a DFT calculation (PBE-GGA) of a relaxed KNa2ErF6 crystal.

The space group is R3 (No. 146, hexagonal axes) and the conventional cell measures 5.9936, 5.9936 and 16.0249 Å, with angles of 90.00, 90.00 and 120.00 degrees. The inequivalent atoms are K at (0.0000, 0.0000, 0.0000), Na at (0.0000, 0.0000, 0.2788), Na at (0.0000, 0.0000, 0.7881), Er at (0.0000, 0.0000, 0.4853), F at (0.0054, 0.3513, 0.2135) and F at (0.0431, 0.6230, 0.0610).

Its crystal system is trigonal. The calculated volume is 16.618 Å³/atom. The calculated density is 3.66 Mg/m³. The total energy is -158.324 eV for the cell shown. As for the total magnetization: 0.63 μB per cell. The value obtained for the uncorrected formation energy is -3.32 eV per atom.

> Among the records above, which one has the lowest calculated density?

K3Na2ErF9